# 1
This record from OQMD describes a relaxed structure of BeZnTeO. The functional is GGA-PBE. Values from VASP.

Properties
- energy (eV per atom) = -4.117
- polymorph energy (0 for the lowest one) (meV per atom) = 378.3

```
&SYSTEM
  ibrav = 0, nat = 32, ntyp = 4
/
ATOMIC_SPECIES
Be 9.01 Be.upf
Zn 65.41 Zn.upf
Te 127.60 Te.upf
O 16.00 O.upf
CELL_PARAMETERS angstrom
6.821 0.000 0.000
0.000 7.649 0.000
0.000 0.000 10.988
ATOMIC_POSITIONS angstrom
Be 0.519 1.418 0.971
Be 0.519 2.406 6.465
Be 2.892 5.243 0.971
Be 2.892 6.231 6.465
Be 3.929 1.418 4.523
Be 3.929 2.406 10.017
Be 6.302 5.243 4.523
Be 6.302 6.231 10.017
Zn 1.341 4.923 8.704
Zn 1.341 6.551 3.210
Zn 2.069 1.098 8.704
Zn 2.069 2.726 3.210
Zn 4.752 4.923 7.778
Zn 4.752 6.551 2.284
Zn 5.479 1.098 7.778
Zn 5.479 2.726 2.284
Te 1.684 4.371 5.262
Te 1.684 7.103 10.756
Te 1.726 0.546 5.262
Te 1.726 3.278 10.756
Te 5.095 4.371 0.232
Te 5.095 7.103 5.726
Te 5.136 0.546 0.232
Te 5.136 3.278 5.726
O 0.482 1.859 7.892
O 0.482 1.965 2.398
O 2.928 5.684 7.892
O 2.928 5.790 2.398
O 3.892 1.859 8.590
O 3.892 1.965 3.096
O 6.339 5.684 8.590
O 6.339 5.790 3.096
```

=====

# 2
This record from OQMD describes a relaxed structure of BeZnTeO. The functional is GGA-PBE. Values from VASP.

Properties
- energy (eV per atom) = -4.473
- polymorph energy (0 for the lowest one) (meV per atom) = 21.6

```
&SYSTEM
  ibrav = 0, nat = 32, ntyp = 4
/
ATOMIC_SPECIES
Be 9.01 Be.upf
Zn 65.41 Zn.upf
Te 127.60 Te.upf
O 16.00 O.upf
CELL_PARAMETERS angstrom
5.073 0.000 0.000
0.000 8.372 0.000
0.000 0.000 13.866
ATOMIC_POSITIONS angstrom
Be 0.348 1.622 2.915
Be 0.348 2.564 9.848
Be 2.189 5.808 2.915
Be 2.189 6.750 9.848
Be 2.885 1.622 4.018
Be 2.885 2.564 10.950
Be 4.725 5.808 4.018
Be 4.725 6.750 10.950
Zn 0.560 1.368 5.801
Zn 0.560 2.818 12.734
Zn 1.977 5.553 5.801
Zn 1.977 7.004 12.734
Zn 3.096 1.368 1.132
Zn 3.096 2.818 8.065
Zn 4.514 5.553 1.132
Zn 4.514 7.004 8.065
Te 1.260 5.051 8.226
Te 1.260 7.506 1.293
Te 1.276 0.866 8.226
Te 1.276 3.320 1.293
Te 3.797 5.051 12.573
Te 3.797 7.506 5.640
Te 3.813 0.866 12.573
Te 3.813 3.320 5.640
O 1.160 5.584 4.022
O 1.160 6.974 10.955
O 1.377 1.398 4.022
O 1.377 2.788 10.955
O 3.696 5.584 2.911
O 3.696 6.974 9.844
O 3.914 1.398 2.911
O 3.914 2.788 9.844
```

=====

# 3
This record from OQMD describes a relaxed structure of BeZnTeO. The functional is GGA-PBE. Values from VASP.

Properties
- energy (eV per atom) = -4.375
- polymorph energy (0 for the lowest one) (meV per atom) = 119.6

```
&SYSTEM
  ibrav = 0, nat = 16, ntyp = 4
/
ATOMIC_SPECIES
Be 9.01 Be.upf
Zn 65.41 Zn.upf
Te 127.60 Te.upf
O 16.00 O.upf
CELL_PARAMETERS angstrom
7.338 0.000 0.000
0.000 7.349 0.000
0.000 0.000 5.546
ATOMIC_POSITIONS angstrom
Be 1.433 1.287 0.000
Be 2.236 1.287 2.773
Be 5.102 6.061 0.000
Be 5.905 6.061 2.773
Zn 0.241 4.819 0.901
Zn 3.428 4.819 3.674
Zn 3.910 2.529 0.901
Zn 7.097 2.529 3.674
Te 0.677 5.058 3.823
Te 2.992 5.058 1.050
Te 4.346 2.290 3.823
Te 6.661 2.290 1.050
O 1.364 1.240 4.021
O 2.306 1.240 1.248
O 5.033 6.108 4.021
O 5.975 6.108 1.248
```